The following is a PBE-GGA calculation of a relaxed structure of Pm3DyPb2, from Alexandria via LeMat-Bulk.

Properties
SG: Cmmm (65)
Energy relative to the elements in eV/atom: -0.395
Offset from the most stable computed form in meV/atom: 46
Density of states at the Fermi level in states/eV per cell: 6.706

Cell lengths 8.5389, 8.5389, 4.4898 Å; angles 90.00, 90.00, 146.11 degrees
Positions (direct):
Pm: 0.0000 0.0000 0.0000
Pm: 0.3239 0.6761 0.0000
Pm: 0.6761 0.3239 0.0000
Dy: 0.5000 0.5000 0.5000
Pb: 0.1495 0.8505 0.5000
Pb: 0.8505 0.1495 0.5000